1.
The following is a DFT calculation (PBE) of a relaxed structure of Zr2Au.

M_tot (μB/cell): 0.0
Calculated formation energy (eV/atom): -0.240
E (eV for the cell shown): -42.2

Geometry as CIF:
```
data_Zr2Au
_space_group_name_H-M_alt 'P -6 2 m'
_space_group_IT_number 189
_space_group_name_Hall 'P -6 -2'
_cell_length_a 5.2250
_cell_length_b 5.2250
_cell_length_c 5.2007
_cell_angle_alpha 90.00
_cell_angle_beta 90.00
_cell_angle_gamma 120.00
loop_
_atom_site_label
_atom_site_fract_x
_atom_site_fract_y
_atom_site_fract_z
Zr1 0.0000 0.0000 0.0000
Zr2 0.0000 0.6561 0.5000
Au1 0.3333 0.6667 0.0000
```

---

2.
The following is a DFT calculation (PBE) of a relaxed structure of ZrAu.

M_tot (μB/cell): 0.1
Calculated formation energy (eV/atom): -0.215
E (eV for the cell shown): -97.9

Geometry as CIF:
```
data_ZrAu
_space_group_name_H-M_alt 'P m m n'
_space_group_IT_number 59
_cell_length_a 4.981
_cell_length_b 12.078
_cell_length_c 5.303
_cell_angle_alpha 90.00
_cell_angle_beta 90.00
_cell_angle_gamma 90.00
loop_
_space_group_symop_operation_xyz
'x,y,z'
'-x,-y,-z'
'-x+1/2,-y+1/2,z'
'x+1/2,y+1/2,-z'
'x+1/2,-y,-z'
'-x+1/2,y,z'
'-x,y+1/2,-z'
'x,-y+1/2,z'
loop_
_atom_site_label
_atom_site_fract_x
_atom_site_fract_y
_atom_site_fract_z
Zr1 0.250 0.009 0.118
Zr2 0.250 0.623 0.635
Au1 0.250 0.124 0.646
Au2 0.250 0.250 0.170
Au3 0.250 0.750 0.138
```

---

3.
The following is a DFT calculation (PBE) of a relaxed structure of Zr2Au.

M_tot (μB/cell): 0.0
Calculated formation energy (eV/atom): -0.342
E (eV for the cell shown): -85.6

Geometry as CIF:
```
data_Zr2Au
_space_group_name_H-M_alt 'C m c m'
_space_group_IT_number 63
_space_group_name_Hall '-C 2c 2'
_cell_length_a 3.304
_cell_length_b 15.357
_cell_length_c 4.911
_cell_angle_alpha 90.00
_cell_angle_beta 90.00
_cell_angle_gamma 90.00
loop_
_atom_site_label
_atom_site_fract_x
_atom_site_fract_y
_atom_site_fract_z
Zr1 0.000 0.076 0.250
Zr2 0.000 0.250 0.750
Au1 0.000 0.403 0.250
```

---

4.
The following is a DFT calculation (PBE) of a relaxed structure of ZrAu.

M_tot (μB/cell): 0.0
Calculated formation energy (eV/atom): -0.234
E (eV for the cell shown): -24.6

Geometry as CIF:
```
data_ZrAu
_space_group_name_H-M_alt 'P m m n'
_space_group_IT_number 59
_cell_length_a 3.005
_cell_length_b 5.051
_cell_length_c 5.273
_cell_angle_alpha 90.00
_cell_angle_beta 90.00
_cell_angle_gamma 90.00
loop_
_space_group_symop_operation_xyz
'x,y,z'
'-x,-y,-z'
'-x+1/2,-y+1/2,z'
'x+1/2,y+1/2,-z'
'x+1/2,-y,-z'
'-x+1/2,y,z'
'-x,y+1/2,-z'
'x,-y+1/2,z'
loop_
_atom_site_label
_atom_site_fract_x
_atom_site_fract_y
_atom_site_fract_z
Zr1 0.250 0.250 0.114
Au1 0.250 0.750 0.387
```

---

5.
The following is a DFT calculation (PBE) of a relaxed structure of ZrAu.

M_tot (μB/cell): 1.7
Calculated formation energy (eV/atom): -0.406
E (eV for the cell shown): -75.8

Geometry as CIF:
```
data_ZrAu
_space_group_name_H-M_alt 'P m c 21'
_space_group_IT_number 26
_cell_length_a 5.073
_cell_length_b 9.060
_cell_length_c 5.197
_cell_angle_alpha 90.00
_cell_angle_beta 90.00
_cell_angle_gamma 90.00
loop_
_space_group_symop_operation_xyz
'x,y,z'
'-x,-y,z+1/2'
'-x,y,z'
'x,-y,z+1/2'
loop_
_atom_site_label
_atom_site_fract_x
_atom_site_fract_y
_atom_site_fract_z
Zr1 0.000 0.055 0.000
Zr2 0.000 0.278 0.424
Zr3 0.500 0.245 0.830
Au1 0.000 0.401 0.920
Au2 0.500 0.088 0.321
Au3 0.500 0.423 0.319
```

---

6.
The following is a DFT calculation (PBE) of a relaxed structure of ZrAu.

M_tot (μB/cell): 0.1
Calculated formation energy (eV/atom): -0.129
E (eV for the cell shown): -48.3

Geometry as CIF:
```
data_ZrAu
_space_group_name_H-M_alt 'P -6 m 2'
_space_group_IT_number 187
_space_group_name_Hall 'P -6 2'
_cell_length_a 6.1844
_cell_length_b 6.1844
_cell_length_c 4.8380
_cell_angle_alpha 90.00
_cell_angle_beta 90.00
_cell_angle_gamma 120.00
loop_
_atom_site_label
_atom_site_fract_x
_atom_site_fract_y
_atom_site_fract_z
Zr1 0.0000 0.0000 0.0000
Zr2 0.1667 0.3333 0.5000
Au1 0.5054 0.0109 0.0000
Au2 0.6667 0.3333 0.5000
```

---

7.
The following is a DFT calculation (PBE) of a relaxed structure of Zr2Au.

M_tot (μB/cell): 0.0
Calculated formation energy (eV/atom): -0.387
E (eV for the cell shown): -86.1

Geometry as CIF:
```
data_Zr2Au
_space_group_name_H-M_alt 'C m c m'
_space_group_IT_number 63
_space_group_name_Hall '-C 2c 2'
_cell_length_a 10.668
_cell_length_b 4.852
_cell_length_c 4.848
_cell_angle_alpha 90.00
_cell_angle_beta 90.00
_cell_angle_gamma 90.00
loop_
_atom_site_label
_atom_site_fract_x
_atom_site_fract_y
_atom_site_fract_z
Zr1 0.160 0.249 0.250
Au1 0.000 0.254 0.750
```

---

8.
The following is a DFT calculation (PBE) of a relaxed structure of ZrAu.

M_tot (μB/cell): 0.0
Calculated formation energy (eV/atom): -0.393
E (eV for the cell shown): -75.6

Geometry as CIF:
```
data_ZrAu
_space_group_name_H-M_alt 'P m c 21'
_space_group_IT_number 26
_cell_length_a 4.895
_cell_length_b 9.543
_cell_length_c 5.104
_cell_angle_alpha 90.00
_cell_angle_beta 90.00
_cell_angle_gamma 90.00
loop_
_space_group_symop_operation_xyz
'x,y,z'
'-x,-y,z+1/2'
'-x,y,z'
'x,-y,z+1/2'
loop_
_atom_site_label
_atom_site_fract_x
_atom_site_fract_y
_atom_site_fract_z
Zr1 0.000 0.086 0.000
Zr2 0.000 0.414 0.065
Zr3 0.500 0.109 0.448
Au1 0.000 0.259 0.541
Au2 0.500 0.253 0.933
Au3 0.500 0.424 0.443
```

---

9.
The following is a DFT calculation (PBE) of a relaxed structure of Zr4Au3.

M_tot (μB/cell): 3.4
Calculated formation energy (eV/atom): -0.315
E (eV for the cell shown): -92.4

Geometry as CIF:
```
data_Zr4Au3
_space_group_name_H-M_alt 'P 63/m'
_space_group_IT_number 176
_space_group_name_Hall '-P 6c'
_cell_length_a 8.1110
_cell_length_b 8.1110
_cell_length_c 4.9123
_cell_angle_alpha 90.00
_cell_angle_beta 90.00
_cell_angle_gamma 120.00
loop_
_atom_site_label
_atom_site_fract_x
_atom_site_fract_y
_atom_site_fract_z
Zr1 0.0298 0.7911 0.2500
Zr2 0.3333 0.6667 0.2500
Au1 0.0868 0.6121 0.7500
```

---

10.
The following is a DFT calculation (PBE) of a relaxed structure of ZrAu.

M_tot (μB/cell): 0.0
Calculated formation energy (eV/atom): -0.269
E (eV for the cell shown): -49.4

Geometry as CIF:
```
data_ZrAu
_space_group_name_H-M_alt 'P m m n'
_space_group_IT_number 59
_cell_length_a 3.083
_cell_length_b 4.975
_cell_length_c 10.495
_cell_angle_alpha 90.00
_cell_angle_beta 90.00
_cell_angle_gamma 90.00
loop_
_space_group_symop_operation_xyz
'x,y,z'
'-x,-y,-z'
'-x+1/2,-y+1/2,z'
'x+1/2,y+1/2,-z'
'x+1/2,-y,-z'
'-x+1/2,y,z'
'-x,y+1/2,-z'
'x,-y+1/2,z'
loop_
_atom_site_label
_atom_site_fract_x
_atom_site_fract_y
_atom_site_fract_z
Zr1 0.250 0.250 0.048
Zr2 0.250 0.750 0.226
Au1 0.250 0.250 0.538
Au2 0.250 0.750 0.702
```

---

11.
The following is a DFT calculation (PBE) of a relaxed structure of Zr2Au.

M_tot (μB/cell): 0.0
Calculated formation energy (eV/atom): -0.189
E (eV for the cell shown): -167.4

Geometry as CIF:
```
data_Zr2Au
_space_group_name_H-M_alt 'P 1 21/m 1'
_space_group_IT_number 11
_cell_length_a 8.320
_cell_length_b 4.934
_cell_length_c 12.358
_cell_angle_alpha 90.00
_cell_angle_beta 94.94
_cell_angle_gamma 90.00
loop_
_space_group_symop_operation_xyz
'x,y,z'
'-x,-y,-z'
'-x,y+1/2,-z'
'x,-y+1/2,z'
loop_
_atom_site_label
_atom_site_fract_x
_atom_site_fract_y
_atom_site_fract_z
Zr1 0.014 0.250 0.063
Zr2 0.090 0.250 0.304
Zr3 0.104 0.250 0.793
Zr4 0.108 0.250 0.545
Zr5 0.243 0.750 0.390
Zr6 0.250 0.750 0.128
Zr7 0.372 0.250 0.970
Zr8 0.451 0.250 0.444
Au1 0.228 0.750 0.630
Au2 0.310 0.750 0.860
Au3 0.376 0.250 0.206
Au4 0.432 0.250 0.701
```

---

12.
The following is a DFT calculation (PBE) of a relaxed structure of Zr4Au3.

M_tot (μB/cell): 0.1
Calculated formation energy (eV/atom): -0.253
E (eV for the cell shown): -91.5

Geometry as CIF:
```
data_Zr4Au3
_space_group_name_H-M_alt 'P 63/m'
_space_group_IT_number 176
_space_group_name_Hall '-P 6c'
_cell_length_a 8.1618
_cell_length_b 8.1618
_cell_length_c 5.0039
_cell_angle_alpha 90.00
_cell_angle_beta 90.00
_cell_angle_gamma 120.00
loop_
_atom_site_label
_atom_site_fract_x
_atom_site_fract_y
_atom_site_fract_z
Zr1 0.0996 0.4548 0.2500
Zr2 0.3333 0.6667 0.7500
Au1 0.0501 0.2455 0.7500
```

---

13.
The following is a DFT calculation (PBE) of a relaxed structure of BaCdB4.

E (eV for the cell shown): -26.8
Energy above the most stable polymorph in this dataset (kJ/mol of atoms): 0.0

Geometry as CIF:
```
data_BaCdB4
_space_group_name_H-M_alt 'P 6/m m m'
_space_group_IT_number 191
_space_group_name_Hall '-P 6 2'
_cell_length_a 3.2090
_cell_length_b 3.2090
_cell_length_c 8.8244
_cell_angle_alpha 90.00
_cell_angle_beta 90.00
_cell_angle_gamma 120.00
loop_
_atom_site_label
_atom_site_fract_x
_atom_site_fract_y
_atom_site_fract_z
Ba1 0.0000 0.0000 0.0000
Cd1 0.0000 0.0000 0.5000
B1 0.3333 0.6667 0.2807
```

---

14.
The following is a DFT calculation (PBE) of a relaxed structure of Ba2CdB.

E (eV for the cell shown): -33.7

Geometry as CIF:
```
data_Ba2CdB
_space_group_name_H-M_alt 'F -4 3 m'
_space_group_IT_number 216
_space_group_name_Hall 'F -4 2 3'
_cell_length_a 7.773
_cell_length_b 7.773
_cell_length_c 7.773
_cell_angle_alpha 90.00
_cell_angle_beta 90.00
_cell_angle_gamma 90.00
loop_
_atom_site_label
_atom_site_fract_x
_atom_site_fract_y
_atom_site_fract_z
Ba1 0.000 0.000 0.000
Ba2 0.250 0.250 0.250
Cd1 0.250 0.250 0.750
B1 0.000 0.000 0.500
```

---

15.
The following is a DFT calculation (PBE) of a relaxed structure of BaCdB.

E (eV for the cell shown): -30.6
Energy above the most stable polymorph in this dataset (kJ/mol of atoms): 0.0

Geometry as CIF:
```
data_BaCdB
_space_group_name_H-M_alt 'F -4 3 m'
_space_group_IT_number 216
_space_group_name_Hall 'F -4 2 3'
_cell_length_a 6.828
_cell_length_b 6.828
_cell_length_c 6.828
_cell_angle_alpha 90.00
_cell_angle_beta 90.00
_cell_angle_gamma 90.00
loop_
_atom_site_label
_atom_site_fract_x
_atom_site_fract_y
_atom_site_fract_z
Ba1 0.000 0.000 0.000
Cd1 0.000 0.000 0.500
B1 0.250 0.250 0.250
```

---

16.
The following is a DFT calculation (PBE) of a relaxed structure of BaCdB4.

E (eV for the cell shown): -53.5
Energy above the most stable polymorph in this dataset (kJ/mol of atoms): 0.1

Geometry as CIF:
```
data_BaCdB4
_space_group_name_H-M_alt 'I m m m'
_space_group_IT_number 71
_space_group_name_Hall '-I 2 2'
_cell_length_a 3.150
_cell_length_b 5.584
_cell_length_c 9.523
_cell_angle_alpha 90.00
_cell_angle_beta 90.00
_cell_angle_gamma 90.00
loop_
_atom_site_label
_atom_site_fract_x
_atom_site_fract_y
_atom_site_fract_z
Ba1 0.000 0.000 0.000
Cd1 0.000 0.000 0.500
B1 0.000 0.331 0.250
```

---

17.
The following is a DFT calculation (PBE) of a relaxed structure of BaCdB.

E (eV for the cell shown): -23.2
Energy above the most stable polymorph in this dataset (kJ/mol of atoms): 59.2

Geometry as CIF:
```
data_BaCdB
_space_group_name_H-M_alt 'F -4 3 m'
_space_group_IT_number 216
_space_group_name_Hall 'F -4 2 3'
_cell_length_a 7.384
_cell_length_b 7.384
_cell_length_c 7.384
_cell_angle_alpha 90.00
_cell_angle_beta 90.00
_cell_angle_gamma 90.00
loop_
_atom_site_label
_atom_site_fract_x
_atom_site_fract_y
_atom_site_fract_z
Ba1 0.000 0.000 0.000
Cd1 0.250 0.250 0.250
B1 0.250 0.250 0.750
```

---

18.
The following is a DFT calculation (PBE) of a relaxed structure of Ba2CdB6O12.

E (eV for the cell shown): -469.7

Geometry as CIF:
```
data_Ba2CdB6O12
_space_group_name_H-M_alt 'R -3'
_space_group_IT_number 148
_space_group_name_Hall '-R 3'
_cell_length_a 7.1473
_cell_length_b 7.1473
_cell_length_c 17.0939
_cell_angle_alpha 90.00
_cell_angle_beta 90.00
_cell_angle_gamma 120.00
loop_
_atom_site_label
_atom_site_fract_x
_atom_site_fract_y
_atom_site_fract_z
Ba1 0.0000 0.0000 0.2104
Cd1 0.0000 0.0000 0.0000
B1 0.0470 0.8276 0.5858
O1 0.0045 0.7529 0.9135
O2 0.0448 0.8326 0.4119
```

---

19.
The following is a DFT calculation (PBE) of a relaxed structure of Ba2ScCdB3O9.

M_tot (μB/cell): 0.0
E (eV for the cell shown): -236.3

Geometry as CIF:
```
data_Ba2ScCdB3O9
_space_group_name_H-M_alt 'P -1'
_space_group_IT_number 2
_cell_length_a 6.420
_cell_length_b 8.292
_cell_length_c 9.278
_cell_angle_alpha 111.51
_cell_angle_beta 103.91
_cell_angle_gamma 101.48
loop_
_space_group_symop_operation_xyz
'x,y,z'
'-x,-y,-z'
loop_
_atom_site_label
_atom_site_fract_x
_atom_site_fract_y
_atom_site_fract_z
Ba1 0.063 0.386 0.279
Ba2 0.231 0.903 0.302
Sc1 0.324 0.330 0.661
Cd1 0.403 0.203 0.014
B1 0.164 0.949 0.658
B2 0.263 0.525 0.992
B3 0.457 0.694 0.620
O1 0.005 0.191 0.481
O2 0.150 0.968 0.810
O3 0.158 0.378 0.837
O4 0.265 0.698 0.009
O5 0.291 0.558 0.620
O6 0.331 0.072 0.646
O7 0.365 0.497 0.127
O8 0.368 0.184 0.236
O9 0.456 0.704 0.474
```

---

20.
The following is a DFT calculation (PBE) of a relaxed structure of BaCoB4.

M_tot (μB/cell): 0.0
E (eV for the cell shown): -34.7
Energy above the most stable polymorph in this dataset (kJ/mol of atoms): 0.0

Geometry as CIF:
```
data_BaCoB4
_space_group_name_H-M_alt 'P 6/m m m'
_space_group_IT_number 191
_space_group_name_Hall '-P 6 2'
_cell_length_a 3.1450
_cell_length_b 3.1450
_cell_length_c 7.6690
_cell_angle_alpha 90.00
_cell_angle_beta 90.00
_cell_angle_gamma 120.00
loop_
_atom_site_label
_atom_site_fract_x
_atom_site_fract_y
_atom_site_fract_z
Ba1 0.0000 0.0000 0.0000
Co1 0.0000 0.0000 0.5000
B1 0.3333 0.6667 0.3272
```